Below is crystalline Ce2InAg at its relaxed geometry, with properties calculated at the GGA-PBEsol level.

Calculated values
Its formation energy from the elements is -0.207 eV/atom. Its density of states at the Fermi level is 1.8277 states/eV/atom. The value obtained for the magnetization is 0.1 μB/cell.

a b c (Å): 3.7750 3.7750 7.6518
angles (deg): 90.00 90.00 90.00
Last column: nearest neighbours and their distance in Å.
Positions (direct):
1 Ce 0.0000 0.0000 0.7590  4 Ag 3.24, 4 In 3.32
2 Ce 0.0000 0.0000 0.2410  4 Ag 3.24, 4 In 3.32
3 Ag 0.5000 0.5000 0.0000  8 Ce 3.24
4 In 0.5000 0.5000 0.5000  8 Ce 3.32

Below is crystalline CeMgAg at its relaxed geometry, with properties calculated at the GGA-PBEsol level.

Calculated values
Its formation energy from the elements is -0.070 eV/atom. Its density of states at the Fermi level is 2.4566 states/eV/atom. The value obtained for the magnetization is 2.4 μB/cell.

a b c (Å): 4.4827 7.3606 7.3606
angles (deg): 120.00 90.00 90.00
Last column: nearest neighbours and their distance in Å.
Positions (direct):
1 Mg 0.0000 0.7615 0.7615  4 Ag 2.85-2.87, 2 Mg 3.04
2 Mg 0.0000 0.2385 0.0000  4 Ag 2.85-2.87, 2 Mg 3.04
3 Mg 0.0000 0.0000 0.2385  4 Ag 2.85-2.87, 2 Mg 3.04
4 Ag 0.0000 0.6667 0.3333  3 Mg 2.87, 6 Ce 3.14
5 Ag 0.0000 0.3333 0.6667  3 Mg 2.87, 6 Ce 3.14
6 Ag 0.5000 0.0000 0.0000  6 Mg 2.85, 3 Ce 3.12
7 Ce 0.5000 0.4243 0.4243  5 Ag 3.12-3.14, 2 Mg 3.34
8 Ce 0.5000 0.0000 0.5757  5 Ag 3.12-3.14, 2 Mg 3.34
9 Ce 0.5000 0.5757 0.0000  5 Ag 3.12-3.14, 2 Mg 3.34

Below is crystalline Ce2AgPb at its relaxed geometry, with properties calculated at the GGA-PBEsol level.

Calculated values
Its formation energy from the elements is -0.147 eV/atom. Its density of states at the Fermi level is 3.7018 states/eV/atom. The value obtained for the magnetization is 3.0 μB/cell.

a b c (Å): 5.3262 5.3262 5.3262
angles (deg): 60.00 60.00 60.00
Last column: nearest neighbours and their distance in Å.
Positions (direct):
1 Pb 0.5000 0.5000 0.5000  8 Ce 3.26
2 Ag 0.0000 0.0000 0.0000  8 Ce 3.26
3 Ce 0.2500 0.2500 0.2500  4 Pb 3.26, 4 Ag 3.26
4 Ce 0.7500 0.7500 0.7500  4 Pb 3.26, 4 Ag 3.26

Below is crystalline CeAgPb at its relaxed geometry, with properties calculated at the GGA-PBEsol level.

Calculated values
Its formation energy from the elements is -0.300 eV/atom. Its density of states at the Fermi level is 2.1829 states/eV/atom. The value obtained for the magnetization is 2.0 μB/cell.

a b c (Å): 4.8410 4.8410 7.3366
angles (deg): 90.00 90.00 120.00
Last column: nearest neighbours and their distance in Å.
Positions (direct):
1 Ce 0.0000 0.0000 0.5001  3 Ag 3.15, 6 Pb 3.24-3.45
2 Ce 0.0000 0.0000 0.0001  3 Ag 3.14, 6 Pb 3.24-3.45
3 Ag 0.6667 0.3333 0.1966  4 Pb 2.86-3.08, 3 Ce 3.14
4 Ag 0.3333 0.6667 0.6967  4 Pb 2.86-3.09, 3 Ce 3.15
5 Pb 0.3333 0.6667 0.2761  4 Ag 2.86-3.09
6 Pb 0.6667 0.3333 0.7762  4 Ag 2.86-3.08

Below is crystalline Ce3SiAgS7 at its relaxed geometry, with properties calculated at the GGA-PBEsol level.

Calculated values
Its density of states at the Fermi level is 1.8729 states/eV/atom. The value obtained for the magnetization is 6.0 μB/cell. The uncorrected formation energy comes out at -1.46 eV per atom.

a b c (Å): 5.6731 10.1186 10.1186
angles (deg): 120.00 90.00 90.00
Last column: nearest neighbours and their distance in Å.
Positions (direct):
1 Ce 0.2528 0.6412 0.8753  8 S 2.84-3.02
2 Ce 0.7528 0.3588 0.1247  8 S 2.84-3.02
3 Ce 0.2528 0.2341 0.3588  8 S 2.84-3.02
4 Ce 0.2528 0.1247 0.7659  8 S 2.84-3.02
5 Ce 0.7528 0.8753 0.2341  8 S 2.84-3.02
6 Ce 0.7528 0.7659 0.6412  8 S 2.84-3.02
7 Si 0.8387 0.3333 0.6667  4 S 2.11-2.14
8 Si 0.3387 0.6667 0.3333  4 S 2.11-2.14
9 Ag 0.1904 0.0000 0.0000  3 S 2.42
10 Ag 0.6904 0.0000 0.0000  3 S 2.42
11 S 0.4671 0.3333 0.6667  1 Si 2.11
12 S 0.9671 0.6667 0.3333  1 Si 2.11
13 S 0.9835 0.4769 0.5875  1 Si 2.14
14 S 0.4835 0.5231 0.4125  1 Si 2.14
15 S 0.9835 0.1107 0.5231  1 Si 2.14
16 S 0.9835 0.4125 0.8893  1 Si 2.14
17 S 0.4835 0.5875 0.1107  1 Si 2.14
18 S 0.4835 0.8893 0.4769  1 Si 2.14
19 S 0.7395 0.7304 0.9070  1 Ag 2.42
20 S 0.2395 0.2696 0.0930  1 Ag 2.42
21 S 0.7395 0.1766 0.2696  1 Ag 2.42
22 S 0.7395 0.0930 0.8234  1 Ag 2.42
23 S 0.2395 0.9070 0.1766  1 Ag 2.42
24 S 0.2395 0.8234 0.7304  1 Ag 2.42

Below is crystalline Ce2AgSn at its relaxed geometry, with properties calculated at the GGA-PBEsol level.

Calculated values
Its formation energy from the elements is -0.254 eV/atom. Its density of states at the Fermi level is 3.6542 states/eV/atom. The value obtained for the magnetization is 2.8 μB/cell.

a b c (Å): 5.2773 5.2773 5.2773
angles (deg): 60.00 60.00 60.00
Last column: nearest neighbours and their distance in Å.
Positions (direct):
1 Ce 0.2500 0.2500 0.2500  4 Sn 3.23, 4 Ag 3.23
2 Ce 0.7500 0.7500 0.7500  4 Sn 3.23, 4 Ag 3.23
3 Sn 0.0000 0.0000 0.0000  8 Ce 3.23
4 Ag 0.5000 0.5000 0.5000  8 Ce 3.23

Below is crystalline CeZn2Ag at its relaxed geometry, with properties calculated at the GGA-PBEsol level.

Calculated values
Its formation energy from the elements is -0.175 eV/atom. Its density of states at the Fermi level is 1.1978 states/eV/atom. The value obtained for the magnetization is 0.4 μB/cell.

a b c (Å): 4.7248 4.7248 4.7248
angles (deg): 60.00 60.00 60.00
Last column: nearest neighbours and their distance in Å.
Positions (direct):
1 Zn 0.2500 0.2500 0.2500  4 Ce 2.89, 4 Ag 2.89
2 Zn 0.7500 0.7500 0.7500  4 Ce 2.89, 4 Ag 2.89
3 Ag 0.5000 0.5000 0.5000  8 Zn 2.89
4 Ce 0.0000 0.0000 0.0000  8 Zn 2.89

Below is crystalline AgCl3 at its relaxed geometry, with properties calculated at the GGA-PBEsol level.

Calculated values
Its density of states at the Fermi level is 1.3233 states/eV/atom. The value obtained for the magnetization is 1.3 μB/cell. The uncorrected formation energy comes out at 0.13 eV per atom.

a b c (Å): 3.5632 3.5632 7.6862
angles (deg): 90.00 90.00 120.00
Last column: nearest neighbours and their distance in Å.
Positions (direct):
1 Ag 0.0000 0.0000 0.0000  6 Cl 2.60
2 Cl 0.0000 0.0000 0.5000  6 Cl 3.05
3 Cl 0.3333 0.6667 0.7924  3 Ag 2.60
4 Cl 0.3333 0.6667 0.2076  3 Ag 2.60